(1)
Material: TiFe4Mo
Method: DFT, PBE
State: relaxed

CIF file:
```
data_TiFe4Mo
_chemical_formula_sum 'Ti4 Fe16 Mo4'
_space_group_name_H-M_alt 'F -4 3 m'
_space_group_IT_number 216
_space_group_name_Hall 'F -4 2 3'
_cell_length_a 6.6856
_cell_length_b 6.6856
_cell_length_c 6.6856
_cell_angle_alpha 90.00
_cell_angle_beta 90.00
_cell_angle_gamma 90.00
loop_
_atom_site_label
_atom_site_type_symbol
_atom_site_fract_x
_atom_site_fract_y
_atom_site_fract_z
_atom_site_occupancy
Ti1 Ti 0.0000 0.0000 0.0000 1
Fe1 Fe 0.1256 0.1256 0.6256 1
Mo1 Mo 0.2500 0.2500 0.2500 1
```

Properties
The calculated total energy comes out at -8.864 eV per atom. Its crystal system is cubic. As for the formation enthalpy at 0 K: -0.101 eV/atom.

(2)
Material: TiFe8Mo3
Method: DFT, PBE
State: relaxed

CIF file:
```
data_TiFe8Mo3
_chemical_formula_sum 'Ti1 Fe8 Mo3'
_space_group_name_H-M_alt 'P 3 m 1'
_space_group_IT_number 156
_cell_length_a 4.6934
_cell_length_b 4.6934
_cell_length_c 7.7448
_cell_angle_alpha 90.00
_cell_angle_beta 90.00
_cell_angle_gamma 120.00
loop_
_space_group_symop_operation_xyz
'x,y,z'
'-y,x-y,z'
'-x+y,-x,z'
'-y,-x,z'
'-x+y,y,z'
'x,x-y,z'
loop_
_atom_site_label
_atom_site_type_symbol
_atom_site_fract_x
_atom_site_fract_y
_atom_site_fract_z
_atom_site_occupancy
Ti1 Ti 0.0000 0.0000 0.0000 1
Fe1 Fe 0.1632 0.3264 0.6853 1
Fe2 Fe 0.3333 0.6667 0.4352 1
Fe3 Fe 0.3333 0.6667 0.9350 1
Fe4 Fe 0.5037 0.0074 0.1827 1
Mo1 Mo 0.0000 0.0000 0.3722 1
Mo2 Mo 0.6667 0.3333 0.4974 1
Mo3 Mo 0.6667 0.3333 0.8594 1
```

Properties
The calculated total energy comes out at -9.069 eV per atom. Its crystal system is trigonal. As for the formation enthalpy at 0 K: -0.062 eV/atom.

(3)
Material: Ti3FeMo
Method: DFT, PBE
State: relaxed

CIF file:
```
data_Ti3FeMo
_chemical_formula_sum 'Ti3 Fe1 Mo1'
_space_group_name_H-M_alt 'P m -3 m'
_space_group_IT_number 221
_space_group_name_Hall '-P 4 2 3'
_cell_length_a 4.4105
_cell_length_b 4.4105
_cell_length_c 4.4105
_cell_angle_alpha 90.00
_cell_angle_beta 90.00
_cell_angle_gamma 90.00
loop_
_atom_site_label
_atom_site_type_symbol
_atom_site_fract_x
_atom_site_fract_y
_atom_site_fract_z
_atom_site_occupancy
Ti1 Ti 0.0000 0.0000 0.5000 1
Fe1 Fe 0.0000 0.0000 0.0000 1
Mo1 Mo 0.5000 0.5000 0.5000 1
```

Properties
The calculated total energy comes out at -8.086 eV per atom. Its relative energy among the computed polymorphs is 0 meV/atom. Its crystal system is cubic. As for the formation enthalpy at 0 K: 0.510 eV/atom.

(4)
Material: Ti3Fe2Mo
Method: DFT, PBE
State: relaxed

CIF file:
```
data_Ti3Fe2Mo
_chemical_formula_sum 'Ti3 Fe2 Mo1'
_space_group_name_H-M_alt 'P 4/m m m'
_space_group_IT_number 123
_space_group_name_Hall '-P 4 2'
_cell_length_a 3.0115
_cell_length_b 3.0115
_cell_length_c 9.2208
_cell_angle_alpha 90.00
_cell_angle_beta 90.00
_cell_angle_gamma 90.00
loop_
_atom_site_label
_atom_site_type_symbol
_atom_site_fract_x
_atom_site_fract_y
_atom_site_fract_z
_atom_site_occupancy
Ti1 Ti 0.0000 0.0000 0.0000 1
Ti2 Ti 0.0000 0.0000 0.3190 1
Fe1 Fe 0.5000 0.5000 0.1582 1
Mo1 Mo 0.5000 0.5000 0.5000 1
```

Properties
The calculated total energy comes out at -8.840 eV per atom. Its crystal system is tetragonal. As for the formation enthalpy at 0 K: -0.266 eV/atom.

(5)
Material: Ti5Fe4Mo
Method: DFT, PBE
State: relaxed

CIF file:
```
data_Ti5Fe4Mo
_chemical_formula_sum 'Ti5 Fe4 Mo1'
_space_group_name_H-M_alt 'P 4/m m m'
_space_group_IT_number 123
_space_group_name_Hall '-P 4 2'
_cell_length_a 2.9847
_cell_length_b 2.9847
_cell_length_c 15.1766
_cell_angle_alpha 90.00
_cell_angle_beta 90.00
_cell_angle_gamma 90.00
loop_
_atom_site_label
_atom_site_type_symbol
_atom_site_fract_x
_atom_site_fract_y
_atom_site_fract_z
_atom_site_occupancy
Ti1 Ti 0.0000 0.0000 0.0000 1
Ti2 Ti 0.0000 0.0000 0.1945 1
Ti3 Ti 0.0000 0.0000 0.3889 1
Fe1 Fe 0.5000 0.5000 0.0966 1
Fe2 Fe 0.5000 0.5000 0.2899 1
Mo1 Mo 0.5000 0.5000 0.5000 1
```

Properties
The calculated total energy comes out at -8.739 eV per atom. Its crystal system is tetragonal. As for the formation enthalpy at 0 K: -0.323 eV/atom.

(6)
Material: TiFeMo
Method: DFT, PBE
State: relaxed

CIF file:
```
data_TiFeMo
_chemical_formula_sum 'Ti4 Fe4 Mo4'
_space_group_name_H-M_alt 'C m c m'
_space_group_IT_number 63
_space_group_name_Hall '-C 2c 2'
_cell_length_a 4.5059
_cell_length_b 7.7564
_cell_length_c 4.9623
_cell_angle_alpha 90.00
_cell_angle_beta 90.00
_cell_angle_gamma 90.00
loop_
_atom_site_label
_atom_site_type_symbol
_atom_site_fract_x
_atom_site_fract_y
_atom_site_fract_z
_atom_site_occupancy
Ti1 Ti 0.0000 0.1661 0.2500 1
Fe1 Fe 0.0000 0.1674 0.7500 1
Mo1 Mo 0.0000 0.5000 0.0000 1
```

Properties
The calculated total energy comes out at -9.001 eV per atom. Its relative energy among the computed polymorphs is 209 meV/atom. Its crystal system is orthorhombic. As for the formation enthalpy at 0 K: 0.062 eV/atom.

(7)
Material: TiFe2Mo2
Method: DFT, PBE
State: relaxed

CIF file:
```
data_TiFe2Mo2
_chemical_formula_sum 'Ti2 Fe4 Mo4'
_space_group_name_H-M_alt 'P 4/m b m'
_space_group_IT_number 127
_space_group_name_Hall '-P 4 2ab'
_cell_length_a 6.9822
_cell_length_b 6.9822
_cell_length_c 2.8695
_cell_angle_alpha 90.00
_cell_angle_beta 90.00
_cell_angle_gamma 90.00
loop_
_atom_site_label
_atom_site_type_symbol
_atom_site_fract_x
_atom_site_fract_y
_atom_site_fract_z
_atom_site_occupancy
Ti1 Ti 0.0000 0.0000 0.0000 1
Fe1 Fe 0.1284 0.3716 0.0000 1
Mo1 Mo 0.1716 0.6716 0.5000 1
```

Properties
The calculated total energy comes out at -9.188 eV per atom. Its relative energy among the computed polymorphs is 0 meV/atom. Its crystal system is tetragonal. As for the formation enthalpy at 0 K: 0.108 eV/atom.

(8)
Material: TiFeMo3
Method: DFT, PBE
State: relaxed

CIF file:
```
data_TiFeMo3
_chemical_formula_sum 'Ti1 Fe1 Mo3'
_space_group_name_H-M_alt 'P m -3 m'
_space_group_IT_number 221
_space_group_name_Hall '-P 4 2 3'
_cell_length_a 4.4549
_cell_length_b 4.4549
_cell_length_c 4.4549
_cell_angle_alpha 90.00
_cell_angle_beta 90.00
_cell_angle_gamma 90.00
loop_
_atom_site_label
_atom_site_type_symbol
_atom_site_fract_x
_atom_site_fract_y
_atom_site_fract_z
_atom_site_occupancy
Ti1 Ti 0.0000 0.0000 0.0000 1
Fe1 Fe 0.5000 0.5000 0.5000 1
Mo1 Mo 0.0000 0.5000 0.5000 1
```

Properties
The calculated total energy comes out at -8.812 eV per atom. Its relative energy among the computed polymorphs is 0 meV/atom. Its crystal system is cubic. As for the formation enthalpy at 0 K: 0.959 eV/atom.

(9)
Material: Ti6FeMo
Method: DFT, PBE
State: relaxed

CIF file:
```
data_Ti6FeMo
_chemical_formula_sum 'Ti12 Fe2 Mo2'
_space_group_name_H-M_alt 'I 4/m m m'
_space_group_IT_number 139
_space_group_name_Hall '-I 4 2'
_cell_length_a 4.3686
_cell_length_b 4.3686
_cell_length_c 13.3140
_cell_angle_alpha 90.00
_cell_angle_beta 90.00
_cell_angle_gamma 90.00
loop_
_atom_site_label
_atom_site_type_symbol
_atom_site_fract_x
_atom_site_fract_y
_atom_site_fract_z
_atom_site_occupancy
Ti1 Ti 0.0000 0.0000 0.2490 1
Ti2 Ti 0.0000 0.5000 0.1104 1
Fe1 Fe 0.0000 0.0000 0.5000 1
Mo1 Mo 0.0000 0.0000 0.0000 1
```

Properties
The calculated total energy comes out at -8.411 eV per atom. Its crystal system is tetragonal. As for the formation enthalpy at 0 K: -0.078 eV/atom.

(10)
Material: TiFeMo
Method: DFT, PBE
State: relaxed

CIF file:
```
data_TiFeMo
_chemical_formula_sum 'Ti2 Fe2 Mo2'
_space_group_name_H-M_alt 'P 4/n m m'
_space_group_IT_number 129
_cell_length_a 3.0936
_cell_length_b 3.0936
_cell_length_c 9.0483
_cell_angle_alpha 90.00
_cell_angle_beta 90.00
_cell_angle_gamma 90.00
loop_
_space_group_symop_operation_xyz
'x,y,z'
'-x,-y,-z'
'-y+1/2,x,z'
'y+1/2,-x,-z'
'-x+1/2,-y+1/2,z'
'x+1/2,y+1/2,-z'
'y,-x+1/2,z'
'-y,x+1/2,-z'
'x+1/2,-y,-z'
'-x+1/2,y,z'
'-y,-x,-z'
'y,x,z'
'-x,y+1/2,-z'
'x,-y+1/2,z'
'y+1/2,x+1/2,-z'
'-y+1/2,-x+1/2,z'
loop_
_atom_site_label
_atom_site_type_symbol
_atom_site_fract_x
_atom_site_fract_y
_atom_site_fract_z
_atom_site_occupancy
Ti1 Ti 0.2500 0.2500 0.2316 1
Fe1 Fe 0.2500 0.2500 0.9267 1
Mo1 Mo 0.2500 0.2500 0.5832 1
```

Properties
The calculated total energy comes out at -9.211 eV per atom. Its relative energy among the computed polymorphs is 0 meV/atom. Its crystal system is tetragonal. As for the formation enthalpy at 0 K: -0.148 eV/atom.

(11)
Material: Ti4Fe3Mo
Method: DFT, PBE
State: relaxed

CIF file:
```
data_Ti4Fe3Mo
_chemical_formula_sum 'Ti4 Fe3 Mo1'
_space_group_name_H-M_alt 'P 4/m m m'
_space_group_IT_number 123
_space_group_name_Hall '-P 4 2'
_cell_length_a 2.9961
_cell_length_b 2.9961
_cell_length_c 12.1913
_cell_angle_alpha 90.00
_cell_angle_beta 90.00
_cell_angle_gamma 90.00
loop_
_atom_site_label
_atom_site_type_symbol
_atom_site_fract_x
_atom_site_fract_y
_atom_site_fract_z
_atom_site_occupancy
Ti1 Ti 0.0000 0.0000 0.1207 1
Ti2 Ti 0.0000 0.0000 0.3624 1
Fe1 Fe 0.5000 0.5000 0.0000 1
Fe2 Fe 0.5000 0.5000 0.2397 1
Mo1 Mo 0.5000 0.5000 0.5000 1
```

Properties
The calculated total energy comes out at -8.778 eV per atom. Its crystal system is tetragonal. As for the formation enthalpy at 0 K: -0.303 eV/atom.

(12)
Material: Ti4Fe2Mo
Method: DFT, PBE
State: relaxed

CIF file:
```
data_Ti4Fe2Mo
_chemical_formula_sum 'Ti8 Fe4 Mo2'
_space_group_name_H-M_alt 'I 4/m m m'
_space_group_IT_number 139
_space_group_name_Hall '-I 4 2'
_cell_length_a 4.6465
_cell_length_b 4.6465
_cell_length_c 11.7792
_cell_angle_alpha 90.00
_cell_angle_beta 90.00
_cell_angle_gamma 90.00
loop_
_atom_site_label
_atom_site_type_symbol
_atom_site_fract_x
_atom_site_fract_y
_atom_site_fract_z
_atom_site_occupancy
Ti1 Ti 0.0000 0.0000 0.2107 1
Ti2 Ti 0.0000 0.5000 0.0000 1
Fe1 Fe 0.0000 0.0000 0.3866 1
Mo1 Mo 0.0000 0.0000 0.0000 1
```

Properties
The calculated total energy comes out at -7.727 eV per atom. Its crystal system is tetragonal. As for the formation enthalpy at 0 K: 0.749 eV/atom.

Question: What is the calculated total energy in the twelfth record?
Answer: -7.727 eV per atom

Question: The lowest formation enthalpy at 0 K belongs to which entry?
Answer: Ti5Fe4Mo